DFT (PBE-GGA) results for crystalline BC at its relaxed geometry.

Cell: 3.835 2.637 8.166 Å, 90.00 92.71 90.00°
Space group Pm (No. 6)
Asymmetric unit:
B 0.000 0.000 0.000
B 0.021 0.000 0.331
B 0.265 0.500 0.633
B 0.303 0.500 0.964
B 0.664 0.000 0.124
B 0.720 0.000 0.766
C 0.254 0.500 0.314
C 0.475 0.500 0.166
C 0.505 0.500 0.469
C 0.526 0.500 0.805
C 0.737 0.000 0.474
C 0.996 0.000 0.625

Output
Its formation enthalpy at 0 K is 422 meV/atom. The calculation puts the excess energy over the best structure of this formula in the dataset at 271 meV per atom. The value obtained for the density of states at the Fermi level is 0.2101 states/eV per atom.